Computed, not measured: an optimized crystal structure of Na2Pm2VO6 at the PBE with a Hubbard U level of DFT.

Properties
VASP energy (eV/atom): -6.930
Crystal system: monoclinic

a = 5.8761 Å, b = 5.8761 Å, c = 5.8419 Å
α = 96.55°, β = 96.55°, γ = 119.72°
With the nearest neighbours (Å) after each atom.
Atoms (fractional coordinates):
O  0.3434  0.0373  0.6912  1 V 2.09, 1 Pm 2.31, 1 Na 2.33
O  0.2236  0.2236  0.3093  1 V 1.91
O  0.0373  0.3434  0.6912  1 V 2.09, 1 Pm 2.31, 1 Na 2.33
O  0.7764  0.7764  0.6907  1 V 1.91
O  0.6566  0.9627  0.3088  1 V 2.09, 1 Pm 2.31, 1 Na 2.33
O  0.9627  0.6566  0.3088  1 V 2.09, 1 Pm 2.31, 1 Na 2.33
V  0.0000  0.0000  0.5000  6 O 1.91-2.09
Pm  0.3345  0.6655  0.5000  6 O 2.31-2.43
Pm  0.6655  0.3345  0.5000  6 O 2.31-2.43
Na  0.1423  0.8577  0.0000  4 O 2.33-2.45
Na  0.8577  0.1423  0.0000  4 O 2.33-2.45